1.
A relaxed structure of Pm5Pr2Dy3. Source: the Alexandria database, functional PBE-GGA.

Calculated values
M_tot = 0.0 μB/cell
distance to the lowest polymorph of the same formula = 18.0 kJ per mole of atoms
density of states at the Fermi level = 29.528 states/eV per cell

a = 12.4948 Å, b = 12.4948 Å, c = 12.4948 Å
α = 135.28°, β = 56.05°, γ = 147.98°
Last column: nearest neighbours and their distance in Å.
Fractional coordinates of all 20 atoms:
Pm1 0.0014 0.7500 0.2514  4 Pm 3.37-3.45, 2 Pr 3.41
Pm2 0.1264 0.0921 0.2185  1 Pr 2.92
Pm3 0.2500 0.2500 0.0000  6 Pm 3.39-3.45
Pm4 0.3736 0.5921 0.9657  1 Pr 2.92
Pm5 0.4986 0.7500 0.7486  4 Pm 3.37-3.45, 2 Pr 3.41
Pm6 0.5014 0.2500 0.2514  4 Pm 3.37-3.45, 2 Pr 3.41
Pm7 0.6264 0.4079 0.0343  1 Pr 2.92
Pm8 0.7500 0.7500 0.0000  6 Pm 3.39-3.45
Pm9 0.8736 0.9079 0.7815  1 Pr 2.92
Pm10 0.9986 0.2500 0.7486  4 Pm 3.37-3.45, 2 Pr 3.41
Pr1 0.1222 0.3991 0.5213  1 Pm 2.92
Pr2 0.3778 0.8991 0.2768  1 Pm 2.92
Pr3 0.6222 0.1009 0.7232  1 Pm 2.92
Pr4 0.8778 0.6009 0.4787  1 Pm 2.92
Dy1 0.1205 0.7482 0.8687  1 Pm 3.27, 1 Pr 3.32
Dy2 0.2500 0.7500 0.5000  4 Pr 3.34, 2 Dy 3.45
Dy3 0.3795 0.2482 0.6278  1 Pm 3.27, 1 Pr 3.32
Dy4 0.6205 0.7518 0.3722  1 Pm 3.27, 1 Pr 3.32
Dy5 0.7500 0.2500 0.5000  4 Pr 3.34, 2 Dy 3.45
Dy6 0.8795 0.2518 0.1313  1 Pm 3.27, 1 Pr 3.32

=====

2.
A relaxed structure of SrAcEuCd. Source: the Alexandria database, functional PBE-GGA.

Calculated values
M_tot = 30.5 μB/cell
total energy = -4.27 eV per atom
density of states at the Fermi level = 12.837 states/eV per cell

a = 8.4825 Å, b = 8.4825 Å, c = 8.4825 Å
α = 90.00°, β = 90.00°, γ = 90.00°
Last column: nearest neighbours and their distance in Å.
Fractional coordinates of all 16 atoms:
Sr1 0.0000 0.0000 0.0000  4 Cd 3.67, 4 Eu 3.67
Sr2 0.0000 0.5000 0.5000  4 Cd 3.67, 4 Eu 3.67
Sr3 0.5000 0.0000 0.5000  4 Cd 3.67, 4 Eu 3.67
Sr4 0.5000 0.5000 0.0000  4 Cd 3.67, 4 Eu 3.67
Ac1 0.0000 0.0000 0.5000  4 Eu 3.67, 4 Cd 3.67
Ac2 0.0000 0.5000 0.0000  4 Eu 3.67, 4 Cd 3.67
Ac3 0.5000 0.0000 0.0000  4 Eu 3.67, 4 Cd 3.67
Ac4 0.5000 0.5000 0.5000  4 Eu 3.67, 4 Cd 3.67
Eu1 0.2500 0.2500 0.7500  4 Ac 3.67, 4 Sr 3.67
Eu2 0.2500 0.7500 0.2500  4 Ac 3.67, 4 Sr 3.67
Eu3 0.7500 0.2500 0.2500  4 Ac 3.67, 4 Sr 3.67
Eu4 0.7500 0.7500 0.7500  4 Ac 3.67, 4 Sr 3.67
Cd1 0.2500 0.2500 0.2500  4 Ac 3.67, 4 Sr 3.67
Cd2 0.2500 0.7500 0.7500  4 Ac 3.67, 4 Sr 3.67
Cd3 0.7500 0.2500 0.7500  4 Ac 3.67, 4 Sr 3.67
Cd4 0.7500 0.7500 0.2500  4 Ac 3.67, 4 Sr 3.67